Entry from OQMD: a relaxed Dy2Ho2BI3Br2 crystal (PBE-GGA).

Structure (POSCAR):
```
Dy2Ho2BI3Br2
1.0
-4.579 -6.788 4.842
-5.561 -7.644 1.064
7.649 -3.588 -1.175
I Ho B Dy Br
3 2 1 2 2
direct
0.500 0.500 0.500
0.173 0.173 0.819
0.827 0.827 0.181
0.001 0.001 0.805
0.999 0.999 0.195
0.500 0.500 0.000
0.363 0.363 0.929
0.637 0.637 0.071
0.158 0.158 0.319
0.842 0.842 0.681
```

Values from the calculation:
- SG = No. 12
- VASP energy (eV per cell) = -45.14
- magnetic moment (μB per formula unit) = 0.0